Here is a geometry-optimized BaTbZn4 structure from the Alexandria database. Energies are from PBE-GGA.

Its total magnetic moment is 0.0 μB/f.u. The final energy is -2.07 eV per atom. The value obtained for the formation enthalpy at 0 K is -0.8 eV/f.u.

abc: 5.727 5.727 5.727
angles: 60.00 60.00 60.00
Element x y z (fractional)
Zn (0.119, 0.627, 0.627)
Zn (0.627, 0.627, 0.119)
Zn (0.627, 0.119, 0.627)
Zn (0.627, 0.627, 0.627)
Tb (0.000, 0.000, 0.000)
Ba (0.250, 0.250, 0.250)

Here is a geometry-optimized BaTbZn2 structure from the Alexandria database. Energies are from PBE-GGA.

Its total magnetic moment is 0.0 μB/f.u. The final energy is -2.26 eV per atom. The value obtained for the formation enthalpy at 0 K is 0.1 eV/f.u.

abc: 3.983 3.983 9.334
angles: 77.68 77.68 60.00
Element x y z (fractional)
Zn (0.261, 0.261, 0.216)
Zn (0.739, 0.739, 0.784)
Tb (0.000, 0.000, 0.000)
Ba (0.500, 0.500, 0.500)

Here is a geometry-optimized BaTbZn2 structure from the Alexandria database. Energies are from PBE-GGA.

Its total magnetic moment is 0.0 μB/f.u. The final energy is -2.50 eV per atom. The value obtained for the formation enthalpy at 0 K is -0.9 eV/f.u.

abc: 3.790 3.790 7.780
angles: 90.00 90.00 90.00
Element x y z (fractional)
Zn (0.000, 0.000, 0.194)
Zn (0.000, 0.000, 0.806)
Tb (0.500, 0.500, 0.000)
Ba (0.500, 0.500, 0.500)

Here is a geometry-optimized BaTb2Zn structure from the Alexandria database. Energies are from PBE-GGA.

Its total magnetic moment is 0.0 μB/f.u. Its polymorph energy (0 for the lowest one) is 0.186 eV per atom. The final energy is -2.96 eV per atom. The value obtained for the formation enthalpy at 0 K is 0.6 eV/f.u.

abc: 3.672 3.672 11.810
angles: 81.06 81.06 60.00
Element x y z (fractional)
Tb (0.106, 0.106, 0.682)
Tb (0.894, 0.894, 0.318)
Ba (0.000, 0.000, 0.000)
Zn (0.500, 0.500, 0.500)